Computed, not measured: Sm3Y4Mg after structural relaxation at the PBE level of DFT.

Cell lengths 25.949, 3.436, 5.887 Å; angles 90.00, 96.43, 90.00 degrees
Space group C2/m (No. 12)
One atom of each set of equivalent atoms:
Sm1 0.000 0.000 0.000 (multiplicity 2)
Sm2 0.150 0.000 0.213 (multiplicity 4)
Y1 0.101 0.000 0.687 (multiplicity 4)
Y2 0.218 0.500 0.736 (multiplicity 4)
Mg1 0.000 0.500 0.500 (multiplicity 2)

Crystal system = monoclinic
ΔH_f (0 K) = 196 meV per atom
Raw total energy = -80.08 eV/cell
Total magnetization = 0.00 μB/cell

---

Computed, not measured: Mn2InN after structural relaxation at the PBE level of DFT.

Cell lengths 6.042, 6.042, 6.177 Å; angles 90.00, 90.00, 90.00 degrees
Space group I-42d (No. 122)
One atom of each set of equivalent atoms:
Mn1 0.117 0.250 0.125 (multiplicity 8)
In1 0.000 0.000 0.500 (multiplicity 4)
N1 0.000 0.000 0.000 (multiplicity 4)

Energy relative to the elements, uncorrected = 0.3 eV per formula unit
Crystal system = tetragonal
Raw total energy = -116.59 eV/cell
Total magnetization = 16.00 μB/cell

---

Computed, not measured: ZrSeI after structural relaxation at the PBE level of DFT.

Cell lengths 15.308, 3.873, 6.917 Å; angles 90.00, 106.81, 90.00 degrees
Space group C2/m (No. 12)
One atom of each set of equivalent atoms:
Zr1 0.244 0.000 0.298 (multiplicity 4)
Se1 0.132 0.500 0.338 (multiplicity 4)
I1 0.135 0.000 0.845 (multiplicity 4)

Energy relative to the elements, uncorrected = -3.4 eV per formula unit
Crystal system = monoclinic
Raw total energy = -67.76 eV/cell
Total magnetization = 0.00 μB/cell

---

Computed, not measured: Ti2TcGe2 after structural relaxation at the PBE level of DFT.

Cell lengths 3.702, 3.702, 11.921 Å; angles 90.00, 90.00, 90.00 degrees
Space group I4/mmm (No. 139)
One atom of each set of equivalent atoms:
Ti1 0.000 0.500 0.250 (multiplicity 4)
Tc1 0.000 0.000 0.000 (multiplicity 2)
Ge1 0.000 0.000 0.402 (multiplicity 4)

Crystal system = tetragonal
ΔH_f (0 K) = 113 meV per atom
Raw total energy = -69.65 eV/cell
Total magnetization = 1.22 μB/cell

---

Computed, not measured: Tb2NdDy2Sc2 after structural relaxation at the PBE level of DFT.

Cell lengths 17.279, 3.397, 8.217 Å; angles 90.00, 116.48, 90.00 degrees
Space group C2/m (No. 12)
One atom of each set of equivalent atoms:
Tb1 0.073 0.000 0.417 (multiplicity 4)
Nd1 0.000 0.500 0.000 (multiplicity 2)
Dy1 0.213 0.500 0.290 (multiplicity 4)
Sc1 0.151 0.000 0.892 (multiplicity 4)

Crystal system = monoclinic
ΔH_f (0 K) = 185 meV per atom
Raw total energy = -69.20 eV/cell
Total magnetization = 0.00 μB/cell

---

Computed, not measured: IrRu2Rh after structural relaxation at the PBE level of DFT.

Cell lengths 6.165, 6.165, 6.165 Å; angles 90.00, 90.00, 90.00 degrees
Space group F-43m (No. 216)
One atom of each set of equivalent atoms:
Ir1 0.000 0.000 0.000 (multiplicity 4)
Ru1 0.000 0.000 0.500 (multiplicity 4)
Ru2 0.250 0.250 0.750 (multiplicity 4)
Rh1 0.250 0.250 0.250 (multiplicity 4)

Crystal system = cubic
ΔH_f (0 K) = 509 meV per atom
Raw total energy = -130.91 eV/cell
Total magnetization = 7.09 μB/cell

---

Computed, not measured: La3Pm2Ni2 after structural relaxation at the PBE level of DFT.

Cell lengths 3.833, 6.400, 9.061 Å; angles 69.74, 77.79, 72.67 degrees
Space group P-1 (No. 2)
One atom of each set of equivalent atoms:
La1 0.000 0.000 0.000 (multiplicity 1)
La2 0.117 0.192 0.573 (multiplicity 2)
Pm1 0.330 0.534 0.808 (multiplicity 2)
Ni1 0.341 0.103 0.213 (multiplicity 2)

Crystal system = triclinic
ΔH_f (0 K) = -187 meV per atom
Raw total energy = -37.15 eV/cell
Total magnetization = 0.00 μB/cell